Below is crystalline HfAlRePt at its relaxed geometry, with properties calculated at the PBE-GGA level.

Its calculated volume is 16.16 Å³ per atom. As for the formation energy: -622 meV/atom. The value obtained for the spin magnetization is 0.00 μB/f.u. Its total energy is -8.668 eV per atom.

The structure in CIF format:
```
data_HfAlRePt
_cell_length_a 6.371
_cell_length_b 6.371
_cell_length_c 6.371
_cell_angle_alpha 90.00
_cell_angle_beta 90.00
_cell_angle_gamma 90.00
_symmetry_space_group_name_H-M 'F -4 3 m'
_symmetry_Int_Tables_number 216
_symmetry_space_group_name_Hall 'F -4 2 3'
loop_
_atom_site_label
_atom_site_type_symbol
_atom_site_fract_x
_atom_site_fract_y
_atom_site_fract_z
Hf1 Hf 0.000 0.000 0.000
Al1 Al 0.000 0.000 0.500
Re1 Re 0.250 0.250 0.750
Pt1 Pt 0.250 0.250 0.250
```